[1]
VASP calculation (GGA-PBE) on PuSnPb2 after structural relaxation.

Output
Crystal system: tetragonal
DOS at the Fermi energy in states/eV per atom: 2.427
Mass density in g/cm³: 11.3
Energy of formation from the pure elements in eV/atom: -0.032

a b c (Å): 4.133 4.133 6.702
angles (deg): 90.00 90.00 90.00
Space group P4/mmm (No. 123)
Symmetry-distinct sites (fractional):
1 Pu 0.000 0.000 0.000 (multiplicity 1)
2 Sn 0.000 0.000 0.500 (multiplicity 1)
3 Pb 0.500 0.500 0.260 (multiplicity 2)

***

[2]
VASP calculation (GGA-PBE) on AgBiRhAu after structural relaxation.

Output
Crystal system: cubic
DOS at the Fermi energy in states/eV per atom: 0.945
Mass density in g/cm³: 13.4
Energy of formation from the pure elements in eV/atom: 0.103

a b c (Å): 6.745 6.745 6.745
angles (deg): 90.00 90.00 90.00
Space group F-43m (No. 216)
Symmetry-distinct sites (fractional):
1 Ag 0.000 0.000 0.000 (multiplicity 4)
2 Bi 0.250 0.250 0.250 (multiplicity 4)
3 Rh 0.000 0.000 0.500 (multiplicity 4)
4 Au 0.250 0.250 0.750 (multiplicity 4)

***

Which formula does entry 1 have? PuSnPb2